[1]
VASP calculation (PBE) on an optimized crystal structure of Pr2NdBr.

Properties
Raw formation energy, meV/atom: -549
Magnetization, μB per formula unit: 0.97
Distance to the lowest polymorph of the same formula, eV per formula unit: 0.09

Cell: 3.7864 3.7864 32.2213 Å, 90.00 90.00 120.00°
Space group R3m (No. 160, hexagonal axes)
One atom of each set of equivalent atoms:
Pr1 0.0000 0.0000 0.0000 (multiplicity 3)
Pr2 0.0000 0.0000 0.1844 (multiplicity 3)
Nd1 0.0000 0.0000 0.7589 (multiplicity 3)
Br1 0.0000 0.0000 0.5925 (multiplicity 3)

***

[2]
VASP calculation (PBE) on an optimized crystal structure of SrAcGeAs.

Properties
Magnetization, μB per formula unit: 0.00
ΔE_f, eV/atom: -0.676

Cell: 7.747 7.747 7.747 Å, 90.00 90.00 90.00°
Space group F-43m (No. 216)
One atom of each set of equivalent atoms:
Sr1 0.000 0.000 0.000 (multiplicity 4)
Ac1 0.000 0.000 0.500 (multiplicity 4)
Ge1 0.250 0.250 0.750 (multiplicity 4)
As1 0.250 0.250 0.250 (multiplicity 4)

***

[3]
VASP calculation (PBE) on an optimized crystal structure of LiTi2VN4.

Properties
Raw formation energy, meV/atom: -1183
Magnetization, μB per formula unit: 0.00

Cell: 2.986 10.406 11.074 Å, 90.00 90.00 90.00°
Space group Cmcm (No. 63)
One atom of each set of equivalent atoms:
Li1 0.000 0.093 0.250 (multiplicity 4)
Ti1 0.000 0.370 0.034 (multiplicity 8)
V1 0.000 0.166 0.750 (multiplicity 4)
N1 0.000 0.000 0.000 (multiplicity 4)
N2 0.000 0.260 0.611 (multiplicity 8)
N3 0.000 0.439 0.250 (multiplicity 4)

***

[4]
VASP calculation (PBE) on an optimized crystal structure of LiSnBr4.

Properties
Raw formation energy, meV/atom: -889
Magnetization, μB per formula unit: 0.00
Distance to the lowest polymorph of the same formula, eV per formula unit: 0.14

Cell: 7.819 17.108 7.045 Å, 90.00 123.56 90.00°
Space group C2/c (No. 15)
One atom of each set of equivalent atoms:
Li1 0.000 0.071 0.250 (multiplicity 4)
Sn1 0.000 0.424 0.750 (multiplicity 4)
Br1 0.240 0.049 0.761 (multiplicity 8)
Br2 0.241 0.175 0.255 (multiplicity 8)

***

[5]
VASP calculation (PBE) on an optimized crystal structure of FeAsSeN2.

Properties
Raw formation energy, meV/atom: 1308
Magnetization, μB per formula unit: 4.41
Distance to the lowest polymorph of the same formula, eV per formula unit: 1.90

Cell: 3.634 3.634 6.522 Å, 90.00 90.00 90.00°
Space group P4/mmm (No. 123)
One atom of each set of equivalent atoms:
Fe1 0.000 0.000 0.000 (multiplicity 1)
As1 0.500 0.500 0.500 (multiplicity 1)
Se1 0.500 0.500 0.000 (multiplicity 1)
N1 0.000 0.500 0.500 (multiplicity 2)

***

[6]
VASP calculation (PBE) on an optimized crystal structure of ZrCu2Au.

Properties
Magnetization, μB per formula unit: 0.44
Distance to the lowest polymorph of the same formula, eV per formula unit: 0.50
ΔE_f, eV/atom: -0.137

Cell: 3.265 3.265 6.120 Å, 90.00 90.00 90.00°
Space group P4/mmm (No. 123)
One atom of each set of equivalent atoms:
Zr1 0.000 0.000 0.000 (multiplicity 1)
Cu1 0.500 0.500 0.271 (multiplicity 2)
Au1 0.000 0.000 0.500 (multiplicity 1)

***

[7]
VASP calculation (PBE) on an optimized crystal structure of TbHo2.

Properties
Magnetization, μB per formula unit: 0.00
Distance to the lowest polymorph of the same formula, eV per formula unit: 0.04
ΔE_f, eV/atom: 0.020

Cell: 3.525 3.525 14.999 Å, 90.00 90.00 90.00°
Space group I4/mmm (No. 139)
One atom of each set of equivalent atoms:
Tb1 0.000 0.000 0.000 (multiplicity 2)
Ho1 0.000 0.000 0.333 (multiplicity 4)

***

[8]
VASP calculation (PBE) on an optimized crystal structure of NbTc2Rh.

Properties
Magnetization, μB per formula unit: 0.00
Distance to the lowest polymorph of the same formula, eV per formula unit: 0.00
ΔE_f, eV/atom: -0.144

Cell: 3.887 3.887 4.047 Å, 90.00 90.00 90.00°
Space group P4/mmm (No. 123)
One atom of each set of equivalent atoms:
Nb1 0.000 0.000 0.000 (multiplicity 1)
Tc1 0.000 0.500 0.500 (multiplicity 2)
Rh1 0.500 0.500 0.000 (multiplicity 1)